# 1
Pr6SbSe3S2 | PBE-GGA | relaxed

For the total magnetization, the calculation gives 0.00 μB per cell. The value obtained for the uncorrected formation energy is -171 kJ per mole of atoms. The final energy is -6.070 eV/atom.

abc: 9.5538 9.5538 8.5860
angles: 103.35 103.35 25.72
With the nearest neighbours (Å) after each atom.
Element x y z (fractional)
1 Pr 0.0076 0.0076 0.2627  1 S 2.91, 3 Se 2.97-3.08, 2 Sb 3.08
2 Pr 0.3284 0.3284 0.4267  3 S 2.89-2.93, 3 Se 3.11
3 Pr 0.3284 0.3284 0.8971  2 S 2.93, 3 Se 3.00-3.12, 1 Sb 3.11
4 Pr 0.6716 0.6716 0.1029  2 S 2.93, 3 Se 3.00-3.12, 1 Sb 3.11
5 Pr 0.6716 0.6716 0.5733  3 S 2.89-2.93, 3 Se 3.11
6 Pr 0.9924 0.9924 0.7373  1 S 2.91, 3 Se 2.97-3.08, 2 Sb 3.08
7 Sb 0.5000 0.5000 0.0000  6 Pr 3.08-3.11
8 Se 0.1626 0.1626 0.8327  6 Pr 3.00-3.12
9 Se 0.5000 0.5000 0.5000  6 Pr 2.97-3.11
10 Se 0.8374 0.8374 0.1673  6 Pr 3.00-3.12
11 S 0.1686 0.1686 0.3366  6 Pr 2.89-2.93
12 S 0.8314 0.8314 0.6634  6 Pr 2.89-2.93



# 2
Pr6Sb2Se3S | PBE-GGA | relaxed

For the total magnetization, the calculation gives 0.00 μB per cell. The value obtained for the uncorrected formation energy is -159 kJ per mole of atoms. The final energy is -5.936 eV/atom.

abc: 9.7378 9.7378 8.7079
angles: 102.91 102.91 25.73
With the nearest neighbours (Å) after each atom.
Element x y z (fractional)
1 Pr 0.0034 0.0034 0.2698  2 S 2.96, 3 Se 3.10-3.19, 1 Sb 3.14
2 Pr 0.3377 0.3377 0.9090  3 Se 3.00-3.02, 3 Sb 3.13-3.17
3 Pr 0.3427 0.3427 0.4293  1 S 2.91, 3 Se 3.03-3.18, 2 Sb 3.13
4 Pr 0.6573 0.6573 0.5707  1 S 2.91, 3 Se 3.03-3.18, 2 Sb 3.13
5 Pr 0.6623 0.6623 0.0910  3 Se 3.00-3.02, 3 Sb 3.13-3.17
6 Pr 0.9966 0.9966 0.7302  2 S 2.96, 3 Se 3.10-3.19, 1 Sb 3.14
7 Sb 0.1663 0.1663 0.8339  6 Pr 3.13-3.17
8 Sb 0.8337 0.8337 0.1661  6 Pr 3.13-3.17
9 Se 0.1707 0.1707 0.3365  6 Pr 3.02-3.18
10 Se 0.5000 0.5000 0.0000  6 Pr 3.00-3.19
11 Se 0.8293 0.8293 0.6635  6 Pr 3.02-3.18
12 S 0.5000 0.5000 0.5000  6 Pr 2.91-2.96



# 3
Pr4SbSeS2 | PBE-GGA | relaxed

For the total magnetization, the calculation gives 0.00 μB per cell. The value obtained for the uncorrected formation energy is -169 kJ per mole of atoms. The final energy is -6.124 eV/atom.

abc: 7.3529 4.2490 7.4427
angles: 90.00 109.23 90.00
With the nearest neighbours (Å) after each atom.
Element x y z (fractional)
1 Pr 0.2362 0.0000 0.2246  3 S 2.90-2.95, 1 Se 3.09, 2 Sb 3.14
2 Pr 0.2530 0.5000 0.7718  3 S 2.90-2.94, 2 Se 3.10, 1 Sb 3.13
3 Pr 0.7470 0.5000 0.2282  3 S 2.90-2.94, 2 Se 3.10, 1 Sb 3.13
4 Pr 0.7638 0.0000 0.7754  3 S 2.90-2.95, 1 Se 3.09, 2 Sb 3.14
5 Sb 0.5000 0.5000 0.5000  6 Pr 3.13-3.14
6 Se 0.0000 0.0000 0.5000  6 Pr 3.09-3.10
7 S 0.0000 0.5000 0.0000  6 Pr 2.90
8 S 0.5000 0.0000 0.0000  6 Pr 2.94-2.95



# 4
Pr8SbSe4S3 | PBE-GGA | relaxed

For the total magnetization, the calculation gives 0.00 μB per cell. The value obtained for the uncorrected formation energy is -175 kJ per mole of atoms. The final energy is -6.106 eV/atom.

abc: 8.5259 8.5259 8.5259
angles: 59.70 59.70 59.70
With the nearest neighbours (Å) after each atom.
Element x y z (fractional)
1 Pr 0.2289 0.7552 0.7552  2 S 2.91, 3 Se 2.95-3.11, 1 Sb 3.07
2 Pr 0.2426 0.2426 0.2426  3 S 2.92, 3 Se 3.10
3 Pr 0.2448 0.2448 0.7711  2 S 2.91, 3 Se 2.95-3.11, 1 Sb 3.07
4 Pr 0.2448 0.7711 0.2448  2 S 2.91, 3 Se 2.95-3.11, 1 Sb 3.07
5 Pr 0.7552 0.2289 0.7552  2 S 2.91, 3 Se 2.95-3.11, 1 Sb 3.07
6 Pr 0.7552 0.7552 0.2289  2 S 2.91, 3 Se 2.95-3.11, 1 Sb 3.07
7 Pr 0.7574 0.7574 0.7574  3 S 2.92, 3 Se 3.10
8 Pr 0.7711 0.2448 0.2448  2 S 2.91, 3 Se 2.95-3.11, 1 Sb 3.07
9 Sb 0.5000 0.5000 0.5000  6 Pr 3.07
10 Se 0.0000 0.0000 0.0000  6 Pr 2.95
11 Se 0.0000 0.5000 0.5000  6 Pr 3.10-3.11
12 Se 0.5000 0.0000 0.5000  6 Pr 3.10-3.11
13 Se 0.5000 0.5000 0.0000  6 Pr 3.10-3.11
14 S 0.0000 0.0000 0.5000  6 Pr 2.91-2.92
15 S 0.0000 0.5000 0.0000  6 Pr 2.91-2.92
16 S 0.5000 0.0000 0.0000  6 Pr 2.91-2.92



# 5
Pr6Sb2SeS3 | PBE-GGA | relaxed

For the total magnetization, the calculation gives 0.00 μB per cell. The value obtained for the uncorrected formation energy is -163 kJ per mole of atoms. The final energy is -6.090 eV/atom.

abc: 9.6125 9.6125 8.6041
angles: 103.46 103.46 25.71
With the nearest neighbours (Å) after each atom.
Element x y z (fractional)
1 Pr 0.0059 0.0059 0.2407  3 S 2.95-2.96, 2 Se 3.11, 1 Sb 3.13
2 Pr 0.3303 0.3303 0.4309  3 S 2.92-2.96, 1 Se 3.09, 2 Sb 3.13
3 Pr 0.3396 0.3396 0.9015  3 S 2.92-2.94, 3 Sb 3.15-3.16
4 Pr 0.6604 0.6604 0.0985  3 S 2.92-2.94, 3 Sb 3.15-3.16
5 Pr 0.6697 0.6697 0.5691  3 S 2.92-2.96, 1 Se 3.09, 2 Sb 3.13
6 Pr 0.9941 0.9941 0.7593  3 S 2.95-2.96, 2 Se 3.11, 1 Sb 3.13
7 Sb 0.1660 0.1660 0.8334  6 Pr 3.13-3.16
8 Sb 0.8340 0.8340 0.1666  6 Pr 3.13-3.16
9 Se 0.5000 0.5000 0.5000  6 Pr 3.09-3.11
10 S 0.1679 0.1679 0.3367  6 Pr 2.92-2.96
11 S 0.5000 0.5000 0.0000  6 Pr 2.92-2.96
12 S 0.8321 0.8321 0.6633  6 Pr 2.92-2.96



# 6
Pr4SbSe2S | PBE-GGA | relaxed

For the total magnetization, the calculation gives 0.00 μB per cell. The value obtained for the uncorrected formation energy is -164 kJ per mole of atoms. The final energy is -5.996 eV/atom.

abc: 8.6246 8.6246 8.6246
angles: 120.28 119.78 89.95
With the nearest neighbours (Å) after each atom.
Element x y z (fractional)
1 Pr 0.2578 0.2479 0.4901  1 S 2.96, 3 Se 2.99-3.15, 2 Sb 3.11
2 Pr 0.2578 0.7677 0.0099  1 S 2.96, 3 Se 2.99-3.15, 2 Sb 3.11
3 Pr 0.2596 0.2454 0.0142  2 S 2.96, 3 Se 3.00-3.14, 1 Sb 3.11
4 Pr 0.2688 0.7546 0.5142  2 S 2.96, 3 Se 3.00-3.14, 1 Sb 3.11
5 Pr 0.7312 0.2454 0.4858  2 S 2.96, 3 Se 3.00-3.14, 1 Sb 3.11
6 Pr 0.7404 0.7546 0.9858  2 S 2.96, 3 Se 3.00-3.14, 1 Sb 3.11
7 Pr 0.7422 0.2323 0.9901  1 S 2.96, 3 Se 2.99-3.15, 2 Sb 3.11
8 Pr 0.7422 0.7521 0.5099  1 S 2.96, 3 Se 2.99-3.15, 2 Sb 3.11
9 Sb 0.0000 0.5000 0.5000  6 Pr 3.11
10 Sb 0.5000 0.5000 0.0000  6 Pr 3.11
11 Se 0.0000 0.0000 0.0000  6 Pr 2.99-3.00
12 Se 0.0000 0.0000 0.5000  6 Pr 3.14-3.15
13 Se 0.0000 0.5000 0.0000  6 Pr 3.14-3.15
14 Se 0.5000 0.0000 0.5000  6 Pr 2.99-3.00
15 S 0.5000 0.0000 0.0000  6 Pr 2.96
16 S 0.5000 0.5000 0.5000  6 Pr 2.96



# 7
PrSmSbS | PBE-GGA | relaxed

For the total magnetization, the calculation gives 0.09 μB per cell. The value obtained for the uncorrected formation energy is -124 kJ per mole of atoms. The final energy is -5.726 eV/atom.

abc: 11.4830 11.4830 11.4830
angles: 25.43 25.43 25.43
With the nearest neighbours (Å) after each atom.
Element x y z (fractional)
1 Pr 0.2048 0.2048 0.2048  3 Sb 3.05, 1 S 3.05
2 Pr 0.7952 0.7952 0.7952  3 Sb 3.05, 1 S 3.05
3 Sm 0.3777 0.3777 0.3777  4 S 2.71-2.93
4 Sm 0.6223 0.6223 0.6223  4 S 2.71-2.93
5 Sb 0.1021 0.1021 0.1021  3 Pr 3.05
6 Sb 0.8979 0.8979 0.8979  3 Pr 3.05
7 S 0.2964 0.2964 0.2964  4 Sm 2.71-2.93
8 S 0.7036 0.7036 0.7036  4 Sm 2.71-2.93



# 8
TbPrSbS | PBE-GGA | relaxed

For the total magnetization, the calculation gives 0.50 μB per cell. The value obtained for the uncorrected formation energy is -137 kJ per mole of atoms. The final energy is -5.839 eV/atom.

abc: 7.8627 7.8627 7.8627
angles: 30.58 30.58 30.58
With the nearest neighbours (Å) after each atom.
Element x y z (fractional)
1 Tb 0.0000 0.0000 0.0000  3 S 2.92, 3 Sb 3.02
2 Pr 0.8384 0.8384 0.8384  3 S 3.09, 3 Sb 3.13
3 Sb 0.4152 0.4152 0.4152  3 Tb 3.02, 3 Pr 3.13
4 S 0.5920 0.5920 0.5920  3 Tb 2.92, 3 Pr 3.09



# 9
Pr4SbTeS2 | PBE-GGA | relaxed

For the total magnetization, the calculation gives 0.00 μB per cell. The value obtained for the uncorrected formation energy is -160 kJ per mole of atoms. The final energy is -5.988 eV/atom.

abc: 8.6604 8.6604 8.6604
angles: 120.54 119.48 89.99
With the nearest neighbours (Å) after each atom.
Element x y z (fractional)
1 Pr 0.2629 0.2462 0.4833  3 S 2.91-2.97, 2 Sb 3.17, 1 Te 3.22
2 Pr 0.2629 0.7797 0.0167  3 S 2.91-2.97, 2 Sb 3.17, 1 Te 3.22
3 Pr 0.2680 0.2415 0.0265  3 S 2.90-2.97, 1 Sb 3.18, 2 Te 3.23
4 Pr 0.2850 0.7585 0.5265  3 S 2.90-2.97, 1 Sb 3.18, 2 Te 3.23
5 Pr 0.7150 0.2415 0.4735  3 S 2.90-2.97, 1 Sb 3.18, 2 Te 3.23
6 Pr 0.7320 0.7585 0.9735  3 S 2.90-2.97, 1 Sb 3.18, 2 Te 3.23
7 Pr 0.7371 0.2203 0.9833  3 S 2.91-2.97, 2 Sb 3.17, 1 Te 3.22
8 Pr 0.7371 0.7538 0.5167  3 S 2.91-2.97, 2 Sb 3.17, 1 Te 3.22
9 Sb 0.0000 0.5000 0.5000  6 Pr 3.17-3.18
10 Sb 0.5000 0.5000 0.0000  6 Pr 3.17-3.18
11 Te 0.0000 0.0000 0.5000  6 Pr 3.22-3.23
12 Te 0.0000 0.5000 0.0000  6 Pr 3.22-3.23
13 S 0.0000 0.0000 0.0000  6 Pr 2.97
14 S 0.5000 0.0000 0.0000  6 Pr 2.90-2.91
15 S 0.5000 0.0000 0.5000  6 Pr 2.97
16 S 0.5000 0.5000 0.5000  6 Pr 2.90-2.91



# 10
Pr6SbTe3S2 | PBE-GGA | relaxed

For the total magnetization, the calculation gives 0.00 μB per cell. The value obtained for the uncorrected formation energy is -154 kJ per mole of atoms. The final energy is -5.800 eV/atom.

abc: 7.5341 7.5341 7.7780
angles: 99.32 99.32 119.96
With the nearest neighbours (Å) after each atom.
Element x y z (fractional)
1 Pr 0.0739 0.4258 0.7798  2 S 2.92-2.93, 1 Sb 3.11, 1 Te 3.20
2 Pr 0.2180 0.2180 0.2141  2 S 2.92, 1 Sb 3.10, 1 Te 3.16
3 Pr 0.4258 0.0739 0.7798  2 S 2.92-2.93, 1 Sb 3.11, 1 Te 3.20
4 Pr 0.5742 0.9261 0.2202  2 S 2.92-2.93, 1 Sb 3.11, 1 Te 3.20
5 Pr 0.7820 0.7820 0.7859  2 S 2.92, 1 Sb 3.10, 1 Te 3.16
6 Pr 0.9261 0.5742 0.2202  2 S 2.92-2.93, 1 Sb 3.11, 1 Te 3.20
7 Sb 0.5000 0.5000 0.0000  6 Pr 3.10-3.11
8 Te 0.0000 0.0000 0.5000  6 Pr 3.16-3.30
9 Te 0.3407 0.6593 0.5000  6 Pr 3.20-3.32
10 Te 0.6593 0.3407 0.5000  6 Pr 3.20-3.32
11 S 0.1682 0.8318 0.0000  6 Pr 2.92-2.93
12 S 0.8318 0.1682 0.0000  6 Pr 2.92-2.93



# 11
Pr4Sb2TeS | PBE-GGA | relaxed

For the total magnetization, the calculation gives 0.00 μB per cell. The value obtained for the uncorrected formation energy is -139 kJ per mole of atoms. The final energy is -5.765 eV/atom.

abc: 8.9029 8.9029 8.9029
angles: 120.03 119.95 90.02
With the nearest neighbours (Å) after each atom.
Element x y z (fractional)
1 Pr 0.2468 0.2420 0.0048  1 S 3.05, 3 Sb 3.12-3.25, 2 Te 3.18
2 Pr 0.2524 0.2390 0.4867  2 S 3.07, 3 Sb 3.12-3.23, 1 Te 3.18
3 Pr 0.2524 0.7657 0.0133  2 S 3.07, 3 Sb 3.12-3.23, 1 Te 3.18
4 Pr 0.2628 0.7580 0.5048  1 S 3.05, 3 Sb 3.12-3.25, 2 Te 3.18
5 Pr 0.7372 0.2420 0.4952  1 S 3.05, 3 Sb 3.12-3.25, 2 Te 3.18
6 Pr 0.7476 0.2343 0.9867  2 S 3.07, 3 Sb 3.12-3.23, 1 Te 3.18
7 Pr 0.7476 0.7610 0.5133  2 S 3.07, 3 Sb 3.12-3.23, 1 Te 3.18
8 Pr 0.7532 0.7580 0.9952  1 S 3.05, 3 Sb 3.12-3.25, 2 Te 3.18
9 Sb 0.0000 0.5000 0.5000  6 Pr 3.23-3.25
10 Sb 0.5000 0.0000 0.0000  6 Pr 3.12
11 Sb 0.5000 0.5000 0.0000  6 Pr 3.23-3.25
12 Sb 0.5000 0.5000 0.5000  6 Pr 3.12
13 Te 0.0000 0.0000 0.5000  6 Pr 3.18
14 Te 0.0000 0.5000 0.0000  6 Pr 3.18
15 S 0.0000 0.0000 0.0000  6 Pr 3.05-3.07
16 S 0.5000 0.0000 0.5000  6 Pr 3.05-3.07



# 12
Pr8Sb3Te4S | PBE-GGA | relaxed

For the total magnetization, the calculation gives 0.00 μB per cell. The value obtained for the uncorrected formation energy is -138 kJ per mole of atoms. The final energy is -5.640 eV/atom.

abc: 9.0391 9.0391 9.0391
angles: 59.43 59.43 59.43
With the nearest neighbours (Å) after each atom.
Element x y z (fractional)
1 Pr 0.2470 0.2470 0.2470  3 Sb 3.14, 3 Te 3.22
2 Pr 0.2585 0.7356 0.7356  1 S 3.00, 2 Sb 3.15, 2 Te 3.23
3 Pr 0.2644 0.2644 0.7415  1 S 3.00, 2 Sb 3.15, 2 Te 3.23
4 Pr 0.2644 0.7415 0.2644  1 S 3.00, 2 Sb 3.15, 2 Te 3.23
5 Pr 0.7356 0.2585 0.7356  1 S 3.00, 2 Sb 3.15, 2 Te 3.23
6 Pr 0.7356 0.7356 0.2585  1 S 3.00, 2 Sb 3.15, 2 Te 3.23
7 Pr 0.7415 0.2644 0.2644  1 S 3.00, 2 Sb 3.15, 2 Te 3.23
8 Pr 0.7530 0.7530 0.7530  3 Sb 3.14, 3 Te 3.22
9 Sb 0.0000 0.0000 0.5000  6 Pr 3.14-3.15
10 Sb 0.0000 0.5000 0.0000  6 Pr 3.14-3.15
11 Sb 0.5000 0.0000 0.0000  6 Pr 3.14-3.15
12 Te 0.0000 0.0000 0.0000  6 Pr 3.37
13 Te 0.0000 0.5000 0.5000  6 Pr 3.22-3.23
14 Te 0.5000 0.0000 0.5000  6 Pr 3.22-3.23
15 Te 0.5000 0.5000 0.0000  6 Pr 3.22-3.23
16 S 0.5000 0.5000 0.5000  6 Pr 3.00